3
Lattice="-1.537 1.537 4.950 1.537 -1.537 4.950 1.537 1.537 -4.950" Properties=species:S:1:pos:R:3 comment="ScTc2 SCAN single point on PBEsol structure" dos_ef_per_ev_fu=1.4 e_above_lowest_polymorph_mev_per_atom=125.0 e_form_ev_per_atom=-0.270 pbc="T T T"
Sc 0.000 0.000 0.000
Tc 0.000 0.000 3.187
Tc 0.000 0.000 6.713

***

5
Lattice="6.078 0.000 0.000 0.000 6.078 0.000 0.000 0.000 5.454" Properties=species:S:1:pos:R:3 comment="Sr2HgAsI SCAN single point on PBEsol structure" dos_ef_per_ev_fu=5.0 e_form_raw_mev_per_atom=-56 pbc="T T T"
Sr 0.000 3.039 0.000
Sr 3.039 0.000 0.000
Hg 0.000 0.000 0.000
As 3.039 3.039 2.727
I 0.000 0.000 2.727

***

5
Lattice="3.583 0.000 0.000 0.000 3.583 0.000 0.000 0.000 5.703" Properties=species:S:1:pos:R:3 comment="AlPBrO2 SCAN single point on PBEsol structure" dos_ef_per_ev_fu=1.9 e_form_raw_mev_per_atom=-821 pbc="T T T"
Al 0.000 0.000 0.000
P 0.000 0.000 2.852
Br 1.792 1.792 2.852
O 0.000 1.792 0.000
O 1.792 0.000 0.000

***

4
Lattice="-1.494 2.386 4.568 1.494 -2.386 4.568 1.494 2.386 -4.568" Properties=species:S:1:pos:R:3 comment="CdHgRh2 SCAN single point on PBEsol structure" dos_ef_per_ev_fu=2.4 e_form_ev_per_atom=0.180 pbc="T T T"
Cd 0.000 0.000 0.000
Hg 0.000 0.000 4.568
Rh 1.494 0.000 2.279
Rh 0.000 2.386 2.289

***

4
Lattice="0.000 3.399 3.399 3.399 0.000 3.399 3.399 3.399 0.000" Properties=species:S:1:pos:R:3 comment="LiHo2Ru SCAN single point on PBEsol structure" dos_ef_per_ev_fu=2.2 e_form_ev_per_atom=-0.371 pbc="T T T"
Li 0.000 0.000 0.000
Ho 1.700 1.700 1.700
Ho 5.099 5.099 5.099
Ru 3.399 3.399 3.399

***

5
Lattice="5.513 0.000 0.000 0.000 5.513 0.000 0.000 0.000 5.044" Properties=species:S:1:pos:R:3 comment="Ca2ScHgPd SCAN single point on PBEsol structure" dos_ef_per_ev_fu=4.9 e_form_ev_per_atom=0.244 pbc="T T T"
Ca 0.000 2.757 0.000
Ca 2.757 0.000 0.000
Sc 0.000 0.000 2.522
Hg 2.757 2.757 0.000
Pd 2.757 2.757 2.522

***

8
Lattice="3.203 0.000 0.000 0.000 3.203 0.000 0.000 0.000 12.982" Properties=species:S:1:pos:R:3 comment="Ta5Mo3 SCAN single point on PBEsol structure" dos_ef_per_ev_fu=7.0 e_above_lowest_polymorph_mev_per_atom=26.9 e_form_ev_per_atom=-0.124 pbc="T T T"
Ta 0.000 0.000 0.000
Ta 0.000 0.000 3.146
Ta 0.000 0.000 9.586
Ta 1.602 1.602 7.899
Ta 1.602 1.602 11.259
Mo 0.000 0.000 6.279
Mo 1.602 1.602 1.566
Mo 1.602 1.602 4.785

***

4
Lattice="-1.860 1.860 4.091 1.860 -1.860 4.091 1.860 1.860 -4.091" Properties=species:S:1:pos:R:3 comment="LiMgIr2 SCAN single point on PBEsol structure" dos_ef_per_ev_fu=4.0 e_form_ev_per_atom=-0.206 pbc="T T T"
Li 0.000 0.000 0.000
Mg 0.000 0.000 4.091
Ir 1.860 0.000 2.046
Ir 0.000 1.860 2.046

***

4
Lattice="2.942 -3.712 0.000 2.942 3.712 0.000 -0.963 0.000 3.060" Properties=species:S:1:pos:R:3 comment="MoAs2Cl SCAN single point on PBEsol structure" dos_ef_per_ev_fu=2.2 e_form_raw_mev_per_atom=506 e_above_lowest_polymorph_mev_per_atom=530.5 pbc="T T T"
Mo 0.000 0.000 0.000
As 0.990 1.856 1.530
As 0.990 -1.856 1.530
Cl 2.942 0.000 0.000

***

4
Lattice="-2.051 2.051 3.656 2.051 -2.051 3.656 2.051 2.051 -3.656" Properties=species:S:1:pos:R:3 comment="MnAlAg2 SCAN single point on PBEsol structure" dos_ef_per_ev_fu=1.7 e_form_ev_per_atom=-0.106 pbc="T T T"
Mn 0.000 0.000 0.000
Al 2.051 0.000 1.828
Ag 0.000 0.000 3.656
Ag 0.000 2.051 1.828

***

4
Lattice="0.000 3.441 3.441 3.441 0.000 3.441 3.441 3.441 0.000" Properties=species:S:1:pos:R:3 comment="La2TaCo SCAN single point on PBEsol structure" dos_ef_per_ev_fu=4.3 e_above_lowest_polymorph_mev_per_atom=462.7 e_form_ev_per_atom=0.698 pbc="T T T"
La 0.000 0.000 0.000
La 1.720 1.720 1.720
Ta 5.161 5.161 5.161
Co 3.441 3.441 3.441

***

5
Lattice="5.435 0.000 0.000 0.000 5.435 0.000 0.000 0.000 3.665" Properties=species:S:1:pos:R:3 comment="NbRhI2O SCAN single point on PBEsol structure" dos_ef_per_ev_fu=3.0 e_form_raw_mev_per_atom=223 pbc="T T T"
Nb 0.000 0.000 0.000
Rh 2.718 2.718 1.832
I 0.000 2.718 1.832
I 2.718 0.000 1.832
O 2.718 2.718 0.000